Entry 1:
Ho6Tm8Zr PBE-GGA relaxed; raw total energy = -4.6320 eV/atom; ρ = 8.8 g/cm3; ΔE to the lowest computed polymorph = 0 meV/atom; SG = P-3
1.0
9.6371 0.0000 0.0000
-4.8185 8.3460 0.0000
0.0000 0.0000 5.7005
Ho Tm Zr
6 8 1
Cartesian
-2.1030 5.1952 1.4707
1.3709 3.9271 1.4707
4.0864 0.7763 4.2297
0.7321 7.5696 1.4707
3.4476 4.4189 4.2297
6.9216 3.1508 4.2297
-3.2712 6.5271 4.3848
0.8015 2.2495 4.3848
2.3489 0.4306 1.3156
0.0000 5.5640 4.3708
4.8185 2.7820 1.3297
2.4696 7.9153 4.3848
4.0170 6.0964 1.3156
8.0897 1.8189 1.3156
0.0000 0.0000 2.8502

***

Entry 2:
CeAl2Co PBE-GGA relaxed; raw total energy = -5.5516 eV/atom; ρ = 6.3 g/cm3; SG = P4/mmm
1.0
2.9527 0.0000 0.0000
0.0000 2.9527 0.0000
0.0000 0.0000 7.5893
Ce Al Co
1 2 1
Cartesian
0.0000 0.0000 0.0000
1.4764 1.4764 2.4256
1.4764 1.4764 5.1637
0.0000 0.0000 3.7947